[1]
Computed, not measured: a relaxed structure of Ga2TcHPt at the PBE-GGA level of DFT.

## Properties
- space group = P4/mmm (123)
- M_tot (μB per atom) = 0.000
- Fermi-level density of states (states/eV/atom) = 0.502
- volume (A^3/atom) = 12.5
- total DFT energy (no corrections) (eV per atom) = -5.302

Lattice parameters (Å, degrees): 4.2658 4.2658 3.4267 90.00 90.00 90.00
Closest atoms and distances in Å follow each position.
Element x y z (fractional)
Pt (0.5000, 0.5000, 0.5000)  8 Ga 2.74, 4 Tc 3.02
Tc (0.0000, 0.0000, 0.5000)  2 H 1.71
Ga (0.0000, 0.5000, 0.0000)  2 H 2.13
Ga (0.5000, 0.0000, 0.0000)  2 H 2.13
H (0.0000, 0.0000, 0.0000)  2 Tc 1.71

=====

[2]
Computed, not measured: a relaxed structure of Tm2GaHPt6 at the PBE-GGA level of DFT.

## Properties
- space group = R-3m (166)
- M_tot (μB per atom) = 0.000
- Fermi-level density of states (states/eV/atom) = 0.322
- volume (A^3/atom) = 16.7
- total DFT energy (no corrections) (eV per atom) = -6.002

Lattice parameters (Å, degrees): 5.5951 6.9654 6.9652 47.36 66.32 90.00
Closest atoms and distances in Å follow each position.
Element x y z (fractional)
Tm (0.2129, 0.7871, 0.5740)  9 Pt 2.98-3.19
Tm (0.7871, 0.2130, 0.4260)  9 Pt 2.98-3.19
H (0.0000, 0.0000, 0.0000)  6 Pt 2.01
Pt (0.7684, 0.2316, 0.9626)  1 H 2.01
Pt (0.7312, 0.7684, 0.0373)  1 H 2.01
Pt (0.7683, 0.7311, 0.4632)  1 H 2.01
Ga (0.5000, 0.5000, 0.0000)  6 Pt 2.48
Pt (0.2688, 0.2316, 0.9627)  1 H 2.01
Pt (0.2316, 0.7684, 0.0374)  1 H 2.01
Pt (0.2317, 0.2689, 0.5368)  1 H 2.01